A geometry-optimized ReOsCl2 structure. Source: Alexandria via LeMat-Bulk, functional PBE.

Unit cell a=4.8300 b=4.8300 c=2.8245 alpha=90.00 beta=90.00 gamma=109.64
Element x y z (fractional)
Re (0.0000, 0.5000, 0.5000)
Os (0.5000, 0.0000, 0.5000)
Cl (0.5000, 0.5000, 0.0000)
Cl (0.0000, 0.0000, 0.0000)

The value obtained for the uncorrected formation energy is 1.769 eV per atom.